Here is crystalline Pm3Sm2PuS6 at its relaxed geometry from Alexandria via LeMat-Bulk. Energies are from GGA-PBE.

Values from the calculation:
ΔE_f (raw) ... -2.003 eV per atom
D(E_F) ... 8.4 states/eV/f.u.

a = 8.9708 Å, b = 8.9708 Å, c = 8.0553 Å
α = 103.00°, β = 103.00°, γ = 25.74°
Element x y z (fractional)
Pm 0.0000 0.0000 0.0000
Pm 0.3335 0.3335 0.6647
Pm 0.6665 0.6665 0.3353
Sm 0.3352 0.3352 0.1700
Sm 0.6648 0.6648 0.8300
Pu 0.0000 0.0000 0.5000
S 0.1653 0.1653 0.5842
S 0.1679 0.1679 0.0821
S 0.5001 0.5001 0.2548
S 0.4999 0.4999 0.7452
S 0.8321 0.8321 0.9179
S 0.8347 0.8347 0.4158

Here is crystalline Sr3Pm3PuS8 at its relaxed geometry from Alexandria via LeMat-Bulk. Energies are from GGA-PBE.

Values from the calculation:
ΔE_f (raw) ... -2.006 eV per atom
D(E_F) ... 15.2 states/eV/f.u.

a = 8.3667 Å, b = 8.3667 Å, c = 8.3667 Å
α = 58.56°, β = 58.56°, γ = 58.56°
Element x y z (fractional)
Sr 0.0000 0.5000 0.5000
Sr 0.5000 0.0000 0.5000
Sr 0.5000 0.5000 0.0000
Pm 0.0000 0.0000 0.5000
Pm 0.0000 0.5000 0.0000
Pm 0.5000 0.0000 0.0000
Pu 0.5000 0.5000 0.5000
S 0.2457 0.2457 0.2457
S 0.2468 0.7409 0.7409
S 0.2591 0.2591 0.7532
S 0.2591 0.7532 0.2591
S 0.7409 0.2468 0.7409
S 0.7409 0.7409 0.2468
S 0.7532 0.2591 0.2591
S 0.7543 0.7543 0.7543